Entry 1:
Ga2HgS4: optimized geometry, PBE.

Cell and atoms, written as extended XYZ:
```
7
Lattice="5.6196 0.0000 0.0000 -0.0058 5.6295 0.0000 -2.7890 -2.8077 5.1899" Properties=species:S:1:pos:R:3 pbc="T T T"
Ga 0.0000 0.0000 0.0000
Ga 0.0038 2.8138 2.5929
Hg 2.7989 0.0121 2.5951
S -1.2801 1.5280 4.0169
S 1.2867 1.5318 1.1590
S 1.2998 -1.5326 4.0203
S 4.3371 4.1118 1.1806
```

The total energy comes out at -3.8109 eV per atom.

Entry 2:
Li2LuScSn2Pt2: optimized geometry, PBE.

Cell and atoms, written as extended XYZ:
```
8
Lattice="4.6506 0.0000 0.0000 0.0000 4.6506 0.0000 0.0000 0.0000 6.5817" Properties=species:S:1:pos:R:3 pbc="T T T"
Li 0.0000 2.3253 1.5827
Li 2.3253 0.0000 4.9989
Lu 0.0000 0.0000 3.2908
Sc 2.3253 2.3253 0.0000
Sn 0.0000 0.0000 0.0000
Sn 2.3253 2.3253 3.2908
Pt 0.0000 2.3253 4.9747
Pt 2.3253 0.0000 1.6069
```

The total energy comes out at -5.2720 eV per atom.

Entry 3:
DyYIn4Ni2: optimized geometry, PBE.

Cell and atoms, written as extended XYZ:
```
8
Lattice="7.4106 0.0000 0.0000 0.0000 2.1653 5.2390 0.0000 -2.1653 5.2390" Properties=species:S:1:pos:R:3 pbc="T T T"
Dy 0.0000 0.0000 0.0000
Y 3.7053 0.0000 1.4395
In 1.4811 0.0000 7.4575
In 2.2227 0.0000 4.4598
In 5.1878 0.0000 4.4598
In 5.9295 0.0000 7.4575
Ni 0.0000 0.0000 2.9677
Ni 3.7053 0.0000 8.9473
```

The total energy comes out at -4.5930 eV per atom.

Entry 4:
Cu2Ag: optimized geometry, PBE.

Cell and atoms, written as extended XYZ:
```
9
Lattice="-1.3901 1.3901 16.1365 1.3901 -1.3901 16.1365 1.3901 1.3901 -16.1365" Properties=species:S:1:pos:R:3 pbc="T T T"
Cu 0.0000 0.0000 4.1351
Cu 0.0000 0.0000 7.2780
Cu 0.0000 0.0000 10.4341
Cu 0.0000 0.0000 21.8389
Cu 0.0000 0.0000 24.9951
Cu 0.0000 0.0000 28.1379
Ag 0.0000 0.0000 0.0000
Ag 0.0000 0.0000 13.9182
Ag 0.0000 0.0000 18.3548
```

The formation enthalpy at 0 K comes out at 0.046 eV per atom. The calculation puts the energy above the most stable polymorph in this dataset at 0.0000 eV/atom.